{"formula": "DyTmBeCo", "functional": "PBE", "state": "relaxed", "delta_e_f_ev_per_atom": -0.058, "dft_energy_ev_per_atom": -5.03, "sg": "F-43m", "magnetic_moment_mub_per_cell": 0.000, "cell": [[0.000, 3.341, 3.341], [3.341, 0.000, 3.341], [3.341, 3.341, 0.000]], "species": ["Dy", "Tm", "Be", "Co"], "frac_coords": [[0.000, 0.000, 0.000], [0.500, 0.500, 0.500], [0.750, 0.750, 0.750], [0.250, 0.250, 0.250]]}